Record 1
# PBE ZnSbAu2, relaxed
# - ΔE_f (raw) (eV per atom) = -0.023
# - D(E_F) (states/eV per atom) = 0.410
# - theoretical density (g/cm³) = 11.5
# - magnetization (Bohr magnetons per cell) = 0.0
# - raw total energy (eV/atom) = -3.011
data_ZnSbAu2
_chemical_formula_sum 'Zn2 Sb2 Au4'
_cell_length_a 8.668
_cell_length_b 3.896
_cell_length_c 5.055
_cell_angle_alpha 90.00
_cell_angle_beta 100.95
_cell_angle_gamma 90.00
_space_group_name_H-M_alt 'C 1 m 1'
_space_group_IT_number 8
loop_
_space_group_symop_operation_xyz
'x,y,z'
'x,-y,z'
'x+1/2,y+1/2,z'
'x+1/2,-y+1/2,z'
loop_
_atom_site_label
_atom_site_type_symbol
_atom_site_fract_x
_atom_site_fract_y
_atom_site_fract_z
_atom_site_occupancy
Zn1 Zn 0.000 0.000 0.000 1
Sb1 Sb 0.301 0.500 0.383 1
Au1 Au 0.035 0.500 0.635 1
Au2 Au 0.284 0.000 0.940 1

***

Record 2
# PBE K2AcZnO4, relaxed
# - ΔE_f (raw) (eV per atom) = -1.643
# - D(E_F) (states/eV per atom) = 0.680
# - theoretical density (g/cm³) = 5.2
# - magnetization (Bohr magnetons per cell) = 2.1
# - raw total energy (eV/atom) = -5.070
data_K2AcZnO4
_chemical_formula_sum 'K4 Ac2 Zn2 O8'
_cell_length_a 6.670
_cell_length_b 6.670
_cell_length_c 6.225
_cell_angle_alpha 90.00
_cell_angle_beta 90.00
_cell_angle_gamma 90.00
_space_group_name_H-M_alt 'I -4 2 m'
_space_group_IT_number 121
_space_group_name_Hall 'I -4 2'
loop_
_atom_site_label
_atom_site_type_symbol
_atom_site_fract_x
_atom_site_fract_y
_atom_site_fract_z
_atom_site_occupancy
K1 K 0.000 0.500 0.000 1
Ac1 Ac 0.000 0.000 0.000 1
Zn1 Zn 0.000 0.000 0.500 1
O1 O 0.162 0.162 0.290 1

***

Record 3
# PBE AlOs4Cl, relaxed
# - ΔE_f (raw) (eV per atom) = 1.205
# - D(E_F) (states/eV per atom) = 1.759
# - theoretical density (g/cm³) = 13.5
# - magnetization (Bohr magnetons per cell) = 11.3
# - raw total energy (eV/atom) = -7.213
data_AlOs4Cl
_chemical_formula_sum 'Al4 Os16 Cl4'
_cell_length_a 7.394
_cell_length_b 7.394
_cell_length_c 7.394
_cell_angle_alpha 90.00
_cell_angle_beta 90.00
_cell_angle_gamma 90.00
_space_group_name_H-M_alt 'F -4 3 m'
_space_group_IT_number 216
_space_group_name_Hall 'F -4 2 3'
loop_
_atom_site_label
_atom_site_type_symbol
_atom_site_fract_x
_atom_site_fract_y
_atom_site_fract_z
_atom_site_occupancy
Al1 Al 0.000 0.000 0.000 1
Os1 Os 0.125 0.125 0.375 1
Cl1 Cl 0.250 0.250 0.750 1

***

Record 4
# PBE Sc3FePt, relaxed
# - D(E_F) (states/eV per atom) = 0.702
# - theoretical density (g/cm³) = 6.3
# - formation enthalpy at 0 K (eV/atom) = -0.14
# - magnetization (Bohr magnetons per cell) = 0.0
# - raw total energy (eV/atom) = -6.840
data_Sc3FePt
_chemical_formula_sum 'Sc3 Fe1 Pt1'
_cell_length_a 4.677
_cell_length_b 4.677
_cell_length_c 4.677
_cell_angle_alpha 90.00
_cell_angle_beta 90.00
_cell_angle_gamma 90.00
_space_group_name_H-M_alt 'P m -3 m'
_space_group_IT_number 221
_space_group_name_Hall '-P 4 2 3'
loop_
_atom_site_label
_atom_site_type_symbol
_atom_site_fract_x
_atom_site_fract_y
_atom_site_fract_z
_atom_site_occupancy
Sc1 Sc 0.000 0.000 0.500 1
Fe1 Fe 0.000 0.000 0.000 1
Pt1 Pt 0.500 0.500 0.500 1

***

Record 5
# PBE AgHg2TeH, relaxed
# - D(E_F) (states/eV per atom) = 0.324
# - theoretical density (g/cm³) = 9.2
# - magnetization (Bohr magnetons per cell) = 0.0
# - raw total energy (eV/atom) = -1.763
data_AgHg2TeH
_chemical_formula_sum 'Ag1 Hg2 Te1 H1'
_cell_length_a 5.758
_cell_length_b 5.758
_cell_length_c 3.472
_cell_angle_alpha 90.00
_cell_angle_beta 90.00
_cell_angle_gamma 90.00
_space_group_name_H-M_alt 'P 4/m m m'
_space_group_IT_number 123
_space_group_name_Hall '-P 4 2'
loop_
_atom_site_label
_atom_site_type_symbol
_atom_site_fract_x
_atom_site_fract_y
_atom_site_fract_z
_atom_site_occupancy
Ag1 Ag 0.000 0.000 0.000 1
Hg1 Hg 0.000 0.500 0.000 1
Te1 Te 0.500 0.500 0.500 1
H1 H 0.000 0.000 0.500 1

***

Record 6
# PBE Sc2Tl2TeO6, relaxed
# - ΔE_f (raw) (eV per atom) = -1.957
# - theoretical density (g/cm³) = 6.5
# - magnetization (Bohr magnetons per cell) = 0.0
# - raw total energy (eV/atom) = -6.529
data_Sc2Tl2TeO6
_chemical_formula_sum 'Sc4 Tl4 Te2 O12'
_cell_length_a 5.701
_cell_length_b 9.841
_cell_length_c 6.874
_cell_angle_alpha 90.00
_cell_angle_beta 106.56
_cell_angle_gamma 90.00
_space_group_name_H-M_alt 'C 1 2/m 1'
_space_group_IT_number 12
loop_
_space_group_symop_operation_xyz
'x,y,z'
'-x,-y,-z'
'-x,y,-z'
'x,-y,z'
'x+1/2,y+1/2,z'
'-x+1/2,-y+1/2,-z'
'-x+1/2,y+1/2,-z'
'x+1/2,-y+1/2,z'
loop_
_atom_site_label
_atom_site_type_symbol
_atom_site_fract_x
_atom_site_fract_y
_atom_site_fract_z
_atom_site_occupancy
Sc1 Sc 0.000 0.166 0.000 1
Tl1 Tl 0.000 0.331 0.500 1
Te1 Te 0.000 0.500 0.000 1
O1 O 0.217 0.000 0.160 1
O2 O 0.224 0.328 0.162 1

***

Record 7
# PBE HfBeCo2, relaxed
# - D(E_F) (states/eV per atom) = 0.980
# - theoretical density (g/cm³) = 9.1
# - formation enthalpy at 0 K (eV/atom) = 0.19
# - magnetization (Bohr magnetons per cell) = 0.0
# - raw total energy (eV/atom) = -6.780
data_HfBeCo2
_chemical_formula_sum 'Hf4 Be4 Co8'
_cell_length_a 3.793
_cell_length_b 3.793
_cell_length_c 15.442
_cell_angle_alpha 90.00
_cell_angle_beta 90.00
_cell_angle_gamma 90.00
_space_group_name_H-M_alt 'I -4 2 d'
_space_group_IT_number 122
_space_group_name_Hall 'I -4 2bw'
loop_
_atom_site_label
_atom_site_type_symbol
_atom_site_fract_x
_atom_site_fract_y
_atom_site_fract_z
_atom_site_occupancy
Hf1 Hf 0.000 0.000 0.000 1
Be1 Be 0.000 0.000 0.500 1
Co1 Co 0.146 0.250 0.625 1

***

Record 8
# PBE Sm4Ge, relaxed
# - D(E_F) (states/eV per atom) = 2.030
# - theoretical density (g/cm³) = 6.2
# - formation enthalpy at 0 K (eV/atom) = -0.02
# - magnetization (Bohr magnetons per cell) = 0.0
# - raw total energy (eV/atom) = -4.719
data_Sm4Ge
_chemical_formula_sum 'Sm4 Ge1'
_cell_length_a 5.646
_cell_length_b 5.646
_cell_length_c 5.646
_cell_angle_alpha 90.00
_cell_angle_beta 90.00
_cell_angle_gamma 90.00
_space_group_name_H-M_alt 'P m -3 m'
_space_group_IT_number 221
_space_group_name_Hall '-P 4 2 3'
loop_
_atom_site_label
_atom_site_type_symbol
_atom_site_fract_x
_atom_site_fract_y
_atom_site_fract_z
_atom_site_occupancy
Sm1 Sm 0.000 0.000 0.000 1
Sm2 Sm 0.000 0.500 0.500 1
Ge1 Ge 0.500 0.500 0.500 1

***

Record 9
# PBE ZnReMo, relaxed
# - D(E_F) (states/eV per atom) = 0.744
# - theoretical density (g/cm³) = 12.6
# - formation enthalpy at 0 K (eV/atom) = 0.19
# - magnetization (Bohr magnetons per cell) = 0.0
# - raw total energy (eV/atom) = -7.998
data_ZnReMo
_chemical_formula_sum 'Zn4 Re4 Mo4'
_cell_length_a 3.075
_cell_length_b 4.434
_cell_length_c 13.440
_cell_angle_alpha 90.00
_cell_angle_beta 90.00
_cell_angle_gamma 90.00
_space_group_name_H-M_alt 'F m m 2'
_space_group_IT_number 42
_space_group_name_Hall 'F 2 -2'
loop_
_atom_site_label
_atom_site_type_symbol
_atom_site_fract_x
_atom_site_fract_y
_atom_site_fract_z
_atom_site_occupancy
Zn1 Zn 0.000 0.000 0.000 1
Re1 Re 0.000 0.000 0.331 1
Mo1 Mo 0.000 0.000 0.669 1

***

Record 10
# PBE Sm2ErTmTh, relaxed
# - D(E_F) (states/eV per atom) = 1.298
# - theoretical density (g/cm³) = 8.6
# - formation enthalpy at 0 K (eV/atom) = 0.32
# - magnetization (Bohr magnetons per cell) = 0.0
# - raw total energy (eV/atom) = -4.863
data_Sm2ErTmTh
_chemical_formula_sum 'Sm4 Er2 Tm2 Th2'
_cell_length_a 8.270
_cell_length_b 6.430
_cell_length_c 6.341
_cell_angle_alpha 90.00
_cell_angle_beta 90.15
_cell_angle_gamma 90.00
_space_group_name_H-M_alt 'P 1 2/c 1'
_space_group_IT_number 13
loop_
_space_group_symop_operation_xyz
'x,y,z'
'-x,-y,-z'
'-x,y,-z+1/2'
'x,-y,z+1/2'
loop_
_atom_site_label
_atom_site_type_symbol
_atom_site_fract_x
_atom_site_fract_y
_atom_site_fract_z
_atom_site_occupancy
Sm1 Sm 0.194 0.215 0.251 1
Er1 Er 0.000 0.310 0.750 1
Tm1 Tm 0.500 0.500 0.000 1
Th1 Th 0.500 0.063 0.750 1

***

Record 11
# PBE NdEr5Se6, relaxed
# - ΔE_f (raw) (eV per atom) = -1.719
# - D(E_F) (states/eV per atom) = 0.424
# - theoretical density (g/cm³) = 8.4
# - magnetization (Bohr magnetons per cell) = 0.0
# - raw total energy (eV/atom) = -5.760
data_NdEr5Se6
_chemical_formula_sum 'Nd2 Er10 Se12'
_cell_length_a 7.020
_cell_length_b 12.221
_cell_length_c 7.064
_cell_angle_alpha 90.00
_cell_angle_beta 109.37
_cell_angle_gamma 90.00
_space_group_name_H-M_alt 'C 1 2/m 1'
_space_group_IT_number 12
loop_
_space_group_symop_operation_xyz
'x,y,z'
'-x,-y,-z'
'-x,y,-z'
'x,-y,z'
'x+1/2,y+1/2,z'
'-x+1/2,-y+1/2,-z'
'-x+1/2,y+1/2,-z'
'x+1/2,-y+1/2,z'
loop_
_atom_site_label
_atom_site_type_symbol
_atom_site_fract_x
_atom_site_fract_y
_atom_site_fract_z
_atom_site_occupancy
Nd1 Nd 0.000 0.000 0.000 1
Er1 Er 0.000 0.158 0.500 1
Er2 Er 0.000 0.335 0.000 1
Er3 Er 0.000 0.500 0.500 1
Se1 Se 0.239 0.500 0.252 1
Se2 Se 0.242 0.327 0.742 1

***

Record 12
# PBE Th2SnTe, relaxed
# - ΔE_f (raw) (eV per atom) = -0.394
# - D(E_F) (states/eV per atom) = 1.002
# - theoretical density (g/cm³) = 7.4
# - magnetization (Bohr magnetons per cell) = 0.0
# - raw total energy (eV/atom) = -5.890
data_Th2SnTe
_chemical_formula_sum 'Th2 Sn1 Te1'
_cell_length_a 5.4161
_cell_length_b 5.4161
_cell_length_c 6.2863
_cell_angle_alpha 90.00
_cell_angle_beta 90.00
_cell_angle_gamma 120.00
_space_group_name_H-M_alt 'P -6 m 2'
_space_group_IT_number 187
_space_group_name_Hall 'P -6 2'
loop_
_atom_site_label
_atom_site_type_symbol
_atom_site_fract_x
_atom_site_fract_y
_atom_site_fract_z
_atom_site_occupancy
Th1 Th 0.0000 0.0000 0.0000 1
Th2 Th 0.3333 0.6667 0.5000 1
Sn1 Sn 0.3333 0.6667 0.0000 1
Te1 Te 0.0000 0.0000 0.5000 1

***

- What is the formula in the second record?
  K2AcZnO4

***

- What is the formula in the first record?
  ZnSbAu2